SrY2GeN GGA-PBE optimized geometry; calculated total energy = -6.353 eV per atom; formation energy without anion corrections = -0.84 eV/atom
1.0
4.7604 0.0000 0.0000
0.0000 4.7604 0.0000
0.0000 0.0000 5.0852
Sr Y Ge N
1 2 1 1
direct
0.0000 0.0000 0.0000
0.0000 0.5000 0.5000
0.5000 0.0000 0.5000
0.5000 0.5000 0.0000
0.0000 0.0000 0.5000


SrY2GeN4 GGA-PBE optimized geometry; calculated total energy = -7.625 eV per atom; formation energy without anion corrections = -1.06 eV/atom
1.0
1.7118 -5.9880 0.0000
1.7118 5.9880 0.0000
0.0000 0.0000 11.8476
Sr Y Ge N
2 4 2 8
direct
0.0945 0.9055 0.7500
0.9055 0.0945 0.2500
0.3698 0.6302 0.5389
0.3698 0.6302 0.9611
0.6302 0.3698 0.0389
0.6302 0.3698 0.4611
0.1764 0.8236 0.2500
0.8236 0.1764 0.7500
0.0000 0.0000 0.0000
0.0000 0.0000 0.5000
0.2609 0.7391 0.1208
0.2609 0.7391 0.3792
0.4161 0.5839 0.7500
0.5839 0.4161 0.2500
0.7391 0.2609 0.6208
0.7391 0.2609 0.8792


TaGeN2 GGA-PBE optimized geometry; calculated total energy = -8.743 eV per atom; formation energy without anion corrections = -0.46 eV/atom
1.0
3.1003 0.0000 0.0000
-1.5502 2.6849 0.0000
0.0000 0.0000 19.5883
Ta Ge N
3 3 6
direct
0.0000 0.0000 0.0000
0.3333 0.6667 0.6667
0.6667 0.3333 0.3333
0.0000 0.0000 0.5000
0.3333 0.6667 0.1667
0.6667 0.3333 0.8333
0.0000 0.0000 0.3897
0.0000 0.0000 0.6103
0.3333 0.6667 0.0564
0.3333 0.6667 0.2769
0.6667 0.3333 0.7231
0.6667 0.3333 0.9436